# AgBiO3 GGA-PBEsol relaxed
# Formation energy from raw total energies = -0.6225 eV/atom
# Raw total energy = -52.91 eV for the cell shown
# Crystal system = orthorhombic
# Space-group type = No. 65
data_AgBiO3
_chemical_formula_sum 'Ag2 Bi2 O6'
_cell_length_a 6.657
_cell_length_b 6.657
_cell_length_c 3.498
_cell_angle_alpha 90.00
_cell_angle_beta 90.00
_cell_angle_gamma 106.21
_space_group_name_H-M_alt 'P 1'
_space_group_IT_number 1
loop_
_space_group_symop_operation_xyz
'x,y,z'
loop_
_atom_site_label
_atom_site_fract_x
_atom_site_fract_y
_atom_site_fract_z
Ag1 0.000 0.000 0.000
Ag2 0.500 0.500 0.000
Bi1 0.000 0.500 0.500
Bi2 0.500 0.000 0.500
O1 0.131 0.869 0.500
O2 0.193 0.457 0.000
O3 0.457 0.193 0.000
O4 0.543 0.807 0.000
O5 0.807 0.543 0.000
O6 0.869 0.131 0.500